VASP calculation (PBEsol) on an optimized crystal structure of YOs3Br.

ΔE_f (raw)	1584	meV/atom
theoretical density	12.9	g cm⁻³
calculated volume	19.02	Å³ per atom
density of states at the Fermi level	4.13	states/eV/f.u.
E	-37.42	eV per cell

Lattice parameters (Å, degrees): 4.565 4.565 4.565 90.00 90.00 90.00
Element x y z (fractional)
Y 0.000 0.000 0.000
Os 0.000 0.500 0.500
Os 0.500 0.000 0.500
Os 0.500 0.500 0.000
Br 0.500 0.500 0.500

***

VASP calculation (PBEsol) on an optimized crystal structure of ZnOsPb2.

theoretical density	14.1	g cm⁻³
calculated volume	19.75	Å³ per atom
energy of formation	0.77	eV per atom
density of states at the Fermi level	3.03	states/eV/f.u.
E	-18.72	eV per cell

Lattice parameters (Å, degrees): 5.017 5.017 5.017 126.47 126.47 79.12
Element x y z (fractional)
Zn 0.000 0.000 0.000
Os 0.500 0.500 0.000
Pb 0.250 0.750 0.500
Pb 0.750 0.250 0.500

***

VASP calculation (PBEsol) on an optimized crystal structure of Te2Se.

ΔE_f (raw)	92	meV/atom
theoretical density	6.1	g cm⁻³
calculated volume	30.39	Å³ per atom
density of states at the Fermi level	0.10	states/eV/f.u.
E	-21.25	eV per cell
offset from the most stable computed form	84.5	meV/atom

Lattice parameters (Å, degrees): 4.903 9.480 3.922 90.00 90.00 90.00
Element x y z (fractional)
Te 0.159 0.122 0.000
Te 0.341 0.622 0.500
Te 0.659 0.378 0.500
Te 0.841 0.878 0.000
Se 0.000 0.500 0.000
Se 0.500 0.000 0.500

***

VASP calculation (PBEsol) on an optimized crystal structure of YAl2.

theoretical density	4.0	g cm⁻³
calculated volume	19.81	Å³ per atom
energy of formation	-0.55	eV per atom
density of states at the Fermi level	2.32	states/eV/f.u.
E	-33.29	eV per cell

Lattice parameters (Å, degrees): 5.519 5.519 5.519 60.00 60.00 60.00
Element x y z (fractional)
Y 0.125 0.125 0.125
Y 0.875 0.875 0.875
Al 0.000 0.500 0.500
Al 0.500 0.000 0.500
Al 0.500 0.500 0.000
Al 0.500 0.500 0.500

***

VASP calculation (PBEsol) on an optimized crystal structure of Sc2OsRu.

theoretical density	9.8	g cm⁻³
calculated volume	16.21	Å³ per atom
energy of formation	-0.36	eV per atom
density of states at the Fermi level	1.63	states/eV/f.u.
E	-37.04	eV per cell

Lattice parameters (Å, degrees): 5.433 5.433 5.433 146.48 132.37 59.49
Element x y z (fractional)
Sc 0.000 0.000 0.000
Sc 0.730 0.230 0.500
Os 0.251 0.751 0.500
Ru 0.479 0.479 0.000

***

VASP calculation (PBEsol) on an optimized crystal structure of RbTiFe2.

theoretical density	5.8	g cm⁻³
calculated volume	17.65	Å³ per atom
energy of formation	1.42	eV per atom
density of states at the Fermi level	6.06	states/eV/f.u.
E	-21.59	eV per cell

Lattice parameters (Å, degrees): 4.639 4.639 4.639 60.00 60.00 60.00
Element x y z (fractional)
Rb 0.000 0.000 0.000
Ti 0.500 0.500 0.500
Fe 0.250 0.250 0.250
Fe 0.750 0.750 0.750